1.
12
Lattice="4.493 0.000 0.000 -2.247 3.891 0.000 0.000 0.000 11.947" Properties=species:S:1:pos:R:3 comment="CaMg2Cu3, optimized geometry, DFT PBEsol" formation_enthalpy_0k_ev_per_fu=-0.2 dos_at_fermi_per_ev_cell=5.10 pbc="T T T"
Mg 2.247 1.297 11.052
Cu 0.000 0.000 0.000
Mg 0.000 2.594 0.895
Cu 0.000 2.594 10.247
Cu 2.247 1.297 4.273
Ca 0.000 0.000 2.987
Mg 2.247 1.297 6.869
Cu 0.000 0.000 5.974
Ca 0.000 0.000 8.961
Cu 0.000 2.594 7.674
Mg 0.000 2.594 5.079
Cu 2.247 1.297 1.700

---

2.
4
Lattice="-2.521 -1.874 2.581 1.719 -3.569 -0.913 3.776 0.738 4.225" Properties=species:S:1:pos:R:3 comment="Al2SbTe, optimized geometry, DFT PBEsol" e_above_lowest_polymorph_kcal_per_mol_atoms=0.00 dos_at_fermi_per_ev_cell=1.13 raw_formation_energy_ev_per_atom=-0.124 pbc="T T T"
Al 1.187 -3.356 -0.475
Sb -0.933 -2.509 1.272
Te 3.073 -2.986 1.640
Al 0.954 -2.139 3.386

---

3.
5
Lattice="-3.208 4.138 0.332 -4.048 -3.024 -1.410 -0.921 -1.119 5.042" Properties=species:S:1:pos:R:3 comment="FeSb3As, optimized geometry, DFT PBEsol" dos_at_fermi_per_ev_cell=6.30 raw_formation_energy_ev_per_atom=1.223 pbc="T T T"
Sb -1.604 2.069 0.166
Sb -2.024 -1.512 -0.705
Sb -0.460 -0.559 2.521
Fe -4.088 -0.003 1.982
As 0.000 0.000 0.000

---

4.
10
Lattice="-1.883 4.728 -3.151 0.615 -3.995 -6.361 -6.360 -4.233 2.044" Properties=species:S:1:pos:R:3 comment="RbGeBr3, optimized geometry, DFT PBEsol" dos_at_fermi_per_ev_cell=0.00 raw_formation_energy_ev_per_atom=-1.038 pbc="T T T"
Rb -2.234 0.051 -6.945
Br -3.883 1.451 -3.519
Br -1.569 -1.358 -3.787
Br -6.363 -0.165 -0.535
Br -1.265 -3.335 -6.933
Br -3.745 -4.950 -3.950
Rb -5.394 -3.550 -0.524
Br -6.059 -2.141 -3.682
Ge -4.245 -2.915 -5.276
Ge -3.383 -0.584 -2.192

---

Copy entry 3 word for word.
5
Lattice="-3.208 4.138 0.332 -4.048 -3.024 -1.410 -0.921 -1.119 5.042" Properties=species:S:1:pos:R:3 comment="FeSb3As, optimized geometry, DFT PBEsol" dos_at_fermi_per_ev_cell=6.30 raw_formation_energy_ev_per_atom=1.223 pbc="T T T"
Sb -1.604 2.069 0.166
Sb -2.024 -1.512 -0.705
Sb -0.460 -0.559 2.521
Fe -4.088 -0.003 1.982
As 0.000 0.000 0.000